[1]
Here is crystalline RbThAlSe4 at its relaxed geometry from Alexandria via LeMat-Bulk. Energies are from PBE-GGA.

a b c (Å): 6.863 7.027 9.583
angles (deg): 90.00 108.39 90.00
Positions (direct):
1 Rb 0.740 0.750 0.941
2 Rb 0.260 0.250 0.059
3 Th 0.770 0.750 0.447
4 Th 0.230 0.250 0.553
5 Al 0.226 0.750 0.332
6 Al 0.774 0.250 0.668
7 Se 0.014 0.509 0.704
8 Se 0.986 0.009 0.296
9 Se 0.986 0.491 0.296
10 Se 0.014 0.991 0.704
11 Se 0.427 0.750 0.172
12 Se 0.573 0.250 0.828
13 Se 0.441 0.750 0.582
14 Se 0.559 0.250 0.418

Values from the calculation:
For the density of states at the Fermi level, the calculation gives 0.000 states/eV per cell. As for the space-group type: P2_1/m, No. 11.

---

[2]
Here is crystalline Rb2TiAlSe4 at its relaxed geometry from Alexandria via LeMat-Bulk. Energies are from PBE-GGA.

a b c (Å): 6.127 7.761 12.852
angles (deg): 84.60 76.21 66.75
Site moments in Bohr magnetons follow the coordinates.
Positions (direct):
1 Rb 0.179 0.000 0.642  0.00
2 Rb 0.821 0.000 0.358  0.00
3 Rb 0.571 0.500 0.858  0.00
4 Rb 0.929 0.500 0.142  0.00
5 Ti 0.750 0.500 0.500  0.86
6 Ti 0.000 0.000 0.000  0.86
7 Al 0.250 0.500 0.500  0.01
8 Al 0.500 0.000 0.000  0.01
9 Se 0.302 0.806 0.105  -0.01
10 Se 0.213 0.194 0.895  -0.01
11 Se 0.893 0.806 0.895  -0.01
12 Se 0.593 0.194 0.105  -0.01
13 Se 0.448 0.694 0.395  -0.01
14 Se 0.537 0.306 0.605  -0.01
15 Se 0.857 0.694 0.605  -0.01
16 Se 0.157 0.306 0.395  -0.01

Values from the calculation:
For the density of states at the Fermi level, the calculation gives 6.382 states/eV per cell. As for the space-group type: Fddd, No. 70.

---

[3]
Here is crystalline RbTiAl2Se at its relaxed geometry from Alexandria via LeMat-Bulk. Energies are from PBE-GGA.

a b c (Å): 5.796 5.422 5.796
angles (deg): 90.00 90.00 90.00
Site moments in Bohr magnetons follow the coordinates.
Positions (direct):
1 Al 0.000 0.000 0.500  0.01
2 Al 0.500 0.000 0.000  0.01
3 Se 0.500 0.500 0.500  0.00
4 Rb 0.000 0.000 0.000  0.12
5 Ti 0.000 0.500 0.000  2.23

Values from the calculation:
For the density of states at the Fermi level, the calculation gives 4.710 states/eV per cell. As for the space-group type: P4/mmm, No. 123.

---

[4]
Here is crystalline Rb2AlTlSe4 at its relaxed geometry from Alexandria via LeMat-Bulk. Energies are from PBE-GGA.

a b c (Å): 6.497 8.007 12.569
angles (deg): 83.98 75.02 66.06
Positions (direct):
1 Rb 0.183 0.000 0.635
2 Rb 0.817 0.000 0.365
3 Rb 0.567 0.500 0.865
4 Rb 0.933 0.500 0.135
5 Al 0.250 0.500 0.500
6 Al 0.500 0.000 0.000
7 Tl 0.750 0.500 0.500
8 Tl 0.000 0.000 0.000
9 Se 0.319 0.805 0.113
10 Se 0.237 0.195 0.887
11 Se 0.876 0.805 0.887
12 Se 0.569 0.195 0.113
13 Se 0.431 0.695 0.387
14 Se 0.513 0.305 0.613
15 Se 0.874 0.695 0.613
16 Se 0.181 0.305 0.387

Values from the calculation:
As for the space-group type: Fddd, No. 70.

---

[5]
Here is crystalline Rb2TmAlSe4 at its relaxed geometry from Alexandria via LeMat-Bulk. Energies are from PBE-GGA.

a b c (Å): 6.932 6.937 6.937
angles (deg): 75.54 60.02 60.02
Positions (direct):
1 Rb 0.000 0.500 0.500
2 Rb 0.500 0.500 0.500
3 Tm 0.000 0.000 0.000
4 Al 0.500 0.000 0.000
5 Se 0.120 0.319 0.000
6 Se 0.880 0.000 0.681
7 Se 0.561 0.000 0.319
8 Se 0.439 0.681 0.000

Values from the calculation:
For the density of states at the Fermi level, the calculation gives 0.000 states/eV per cell. As for the space-group type: I-42m, No. 121.

---

[6]
Here is crystalline Rb3Tm3AlSe8 at its relaxed geometry from Alexandria via LeMat-Bulk. Energies are from PBE-GGA.

a b c (Å): 8.074 8.079 9.491
angles (deg): 115.22 90.00 119.99
Positions (direct):
1 Rb 0.000 0.000 0.000
2 Rb 0.000 0.500 0.000
3 Rb 0.500 0.500 0.000
4 Tm 0.500 0.000 0.500
5 Tm 0.500 0.500 0.500
6 Tm 0.000 0.500 0.500
7 Al 0.000 0.000 0.500
8 Se 0.268 0.537 0.305
9 Se 0.732 0.463 0.695
10 Se 0.783 0.566 0.317
11 Se 0.217 0.434 0.683
12 Se 0.783 0.034 0.317
13 Se 0.217 0.966 0.683
14 Se 0.252 0.034 0.317
15 Se 0.748 0.966 0.683

Values from the calculation:
For the density of states at the Fermi level, the calculation gives 9.631 states/eV per cell. As for the space-group type: C2/m, No. 12.

---

Number 1: ΔE_f (raw) -1.40 eV/atom. Number 2: ΔE_f (raw) -1.13 eV/atom. Number 3: ΔE_f (raw) 1.86 eV/atom. Number 4: ΔE_f (raw) -0.85 eV/atom. Number 5: ΔE_f (raw) -1.32 eV/atom. Number 6: ΔE_f (raw) -1.45 eV/atom.